a.
This record from the Alexandria database describes Nd2SmSb after structural relaxation. The functional is GGA-PBE.

Cell: 5.5386 5.5386 5.5387 Å, 60.00 60.00 60.00°
Sites, in units of the cell vectors:
Sb (0.5000, 0.5000, 0.5000)
Nd (0.2500, 0.2500, 0.2500)
Nd (0.7500, 0.7500, 0.7500)
Sm (0.0000, 0.0000, 0.0000)

Properties
The symmetry is Fm-3m, No. 225.


b.
This record from the Alexandria database describes Nd2SmSb after structural relaxation. The functional is GGA-PBE.

Cell: 4.1930 4.1930 7.1132 Å, 90.00 90.00 90.00°
Sites, in units of the cell vectors:
Sb (0.5000, 0.5000, 0.5000)
Nd (0.0000, 0.0000, 0.7215)
Nd (0.0000, 0.0000, 0.2785)
Sm (0.5000, 0.5000, 0.0000)

Properties
The symmetry is P4/mmm, No. 123.


Top of the stability list: b, leading by 0.169 eV/atom.


a.
This record from the Alexandria database describes Nd2SmSb after structural relaxation. The functional is GGA-PBE.

Cell: 4.6450 4.6342 12.0128 Å, 90.00 101.13 90.00°
Sites, in units of the cell vectors:
Nd (0.5680, 0.2500, 0.1361)
Nd (0.4320, 0.7500, 0.8639)
Nd (0.0613, 0.7500, 0.1226)
Nd (0.9387, 0.2500, 0.8774)
Sm (0.6952, 0.7500, 0.3909)
Sm (0.3048, 0.2500, 0.6091)
Sb (0.1701, 0.2500, 0.3404)
Sb (0.8299, 0.7500, 0.6596)

Properties
The symmetry is P2_1/m, No. 11.


b.
This record from the Alexandria database describes Nd2SmSb after structural relaxation. The functional is GGA-PBE.

Cell: 4.9300 4.9049 4.9049 Å, 90.00 90.00 90.00°
Sites, in units of the cell vectors:
Sb (0.5000, 0.0000, 0.0000)
Nd (0.0000, 0.0000, 0.5000)
Nd (0.0000, 0.5000, 0.0000)
Sm (0.5000, 0.5000, 0.5000)

Properties
The symmetry is P4/mmm, No. 123.


Top of the stability list: a, leading by 0.018 eV/atom.


a.
This record from the Alexandria database describes NdSm3Sb3 after structural relaxation. The functional is GGA-PBE.

Cell: 9.4277 9.4277 9.4277 Å, 90.00 90.00 90.00°
Sites, in units of the cell vectors:
Nd (0.0703, 0.5703, 0.9297)
Nd (0.9297, 0.0703, 0.5703)
Nd (0.4297, 0.4297, 0.4297)
Nd (0.5703, 0.9297, 0.0703)
Sm (0.8200, 0.3200, 0.1800)
Sm (0.9280, 0.9280, 0.9280)
Sm (0.8205, 0.6795, 0.3205)
Sm (0.1800, 0.8200, 0.3200)
Sm (0.1795, 0.1795, 0.1795)
Sm (0.3205, 0.8205, 0.6795)
Sm (0.0720, 0.4280, 0.5720)
Sm (0.3200, 0.1800, 0.8200)
Sm (0.6795, 0.3205, 0.8205)
Sm (0.6800, 0.6800, 0.6800)
Sm (0.5720, 0.0720, 0.4280)
Sm (0.4280, 0.5720, 0.0720)
Sb (0.7479, 0.6236, 0.0005)
Sb (0.8764, 0.9995, 0.2479)
Sb (0.0005, 0.7479, 0.6236)
Sb (0.1236, 0.4995, 0.2521)
Sb (0.2521, 0.1236, 0.4995)
Sb (0.2479, 0.8764, 0.9995)
Sb (0.9995, 0.2479, 0.8764)
Sb (0.3764, 0.5005, 0.7521)
Sb (0.4995, 0.2521, 0.1236)
Sb (0.6236, 0.0005, 0.7479)
Sb (0.7521, 0.3764, 0.5005)
Sb (0.5005, 0.7521, 0.3764)

Properties
The symmetry is P2_13, No. 198.


b.
This record from the Alexandria database describes NdSm3Sb3 after structural relaxation. The functional is GGA-PBE.

Cell: 9.2452 9.2452 8.2230 Å, 55.80 55.80 60.00°
Sites, in units of the cell vectors:
Nd (0.3336, 0.3336, 0.9991)
Nd (0.6664, 0.6664, 0.0009)
Sm (0.3520, 0.8169, 0.7402)
Sm (0.8169, 0.0908, 0.7402)
Sm (0.0908, 0.3520, 0.7402)
Sm (0.9092, 0.6480, 0.2598)
Sm (0.1831, 0.9092, 0.2598)
Sm (0.6480, 0.1831, 0.2598)
Sb (0.2979, 0.5371, 0.2405)
Sb (0.9245, 0.2979, 0.2405)
Sb (0.5371, 0.9245, 0.2405)
Sb (0.4629, 0.0755, 0.7595)
Sb (0.0755, 0.7021, 0.7595)
Sb (0.7021, 0.4629, 0.7595)

Properties
The symmetry is R-3, No. 148.


Top of the stability list: a, leading by 0.107 eV/atom.


a.
This record from the Alexandria database describes NdSm2Sb3 after structural relaxation. The functional is GGA-PBE.

Cell: 4.4927 6.3431 7.7749 Å, 114.07 106.79 90.00°
Sites, in units of the cell vectors:
Nd (0.5000, 0.5000, 0.5000)
Sm (0.8337, 0.8337, 0.1675)
Sm (0.1663, 0.1663, 0.8325)
Sb (0.8316, 0.3316, 0.1632)
Sb (0.1684, 0.6684, 0.8368)
Sb (0.5000, 0.0000, 0.5000)

Properties
The symmetry is Immm, No. 71.


b.
This record from the Alexandria database describes NdSm2Sb3 after structural relaxation. The functional is GGA-PBE.

Cell: 8.9282 8.9282 8.9282 Å, 51.12 51.12 51.12°
Sites, in units of the cell vectors:
Nd (0.5000, 0.5000, 0.5000)
Nd (0.0000, 0.0000, 0.0000)
Sm (0.3334, 0.3334, 0.3334)
Sm (0.1666, 0.1666, 0.1666)
Sm (0.8334, 0.8334, 0.8334)
Sm (0.6666, 0.6666, 0.6666)
Sb (0.4187, 0.0813, 0.7500)
Sb (0.0813, 0.7500, 0.4187)
Sb (0.7500, 0.4187, 0.0813)
Sb (0.5813, 0.9187, 0.2500)
Sb (0.9187, 0.2500, 0.5813)
Sb (0.2500, 0.5813, 0.9187)

Properties
The symmetry is R-3c, No. 167.


Top of the stability list: a, leading by 0.116 eV/atom.


a.
This record from the Alexandria database describes Nd5Sn2Sb2 after structural relaxation. The functional is GGA-PBE.

Cell: 7.9216 8.5627 10.4617 Å, 114.16 112.25 90.00°
Sites, in units of the cell vectors:
Nd (0.2377, 0.6704, 0.8775)
Nd (0.7623, 0.7929, 0.1225)
Nd (0.1398, 0.1704, 0.8775)
Nd (0.8602, 0.2929, 0.1225)
Nd (0.3145, 0.0097, 0.3113)
Nd (0.6855, 0.6983, 0.6887)
Nd (0.4968, 0.5097, 0.3113)
Nd (0.5032, 0.1983, 0.6887)
Nd (0.0993, 0.7505, 0.5000)
Nd (0.9007, 0.2505, 0.5000)
Sn (0.1268, 0.6100, 0.1631)
Sn (0.8732, 0.4469, 0.8369)
Sn (0.5363, 0.1100, 0.1631)
Sn (0.4637, 0.9469, 0.8369)
Sb (0.0000, 0.9460, 0.0000)
Sb (0.5000, 0.4460, 0.0000)
Sb (0.2652, 0.4113, 0.5000)
Sb (0.7348, 0.9113, 0.5000)

Properties
The symmetry is Ima2, No. 46.


b.
This record from the Alexandria database describes Nd5Sn2Sb2 after structural relaxation. The functional is GGA-PBE.

Cell: 8.4354 8.3815 9.0017 Å, 117.75 90.00 90.00°
Sites, in units of the cell vectors:
Nd (0.0000, 0.0000, 0.0000)
Nd (0.5000, 0.5000, 0.0000)
Nd (0.8331, 0.8080, 0.2738)
Nd (0.1669, 0.4658, 0.2738)
Nd (0.3331, 0.9658, 0.2738)
Nd (0.6669, 0.3080, 0.2738)
Nd (0.1669, 0.1920, 0.7262)
Nd (0.8331, 0.5342, 0.7262)
Nd (0.6669, 0.0342, 0.7262)
Nd (0.3331, 0.6920, 0.7262)
Sn (0.6302, 0.8702, 0.0000)
Sn (0.3698, 0.1298, 0.0000)
Sn (0.1302, 0.6298, 0.0000)
Sn (0.8698, 0.3702, 0.0000)
Sb (0.0000, 0.2028, 0.4056)
Sb (0.5000, 0.7028, 0.4056)
Sb (0.0000, 0.7972, 0.5944)
Sb (0.5000, 0.2972, 0.5944)

Properties
The symmetry is Cmce, No. 64.


Top of the stability list: b, leading by 0.243 eV/atom.


a.
This record from the Alexandria database describes NdSnSb after structural relaxation. The functional is GGA-PBE.

Cell: 4.4050 4.5236 8.7816 Å, 104.93 90.00 90.00°
Sites, in units of the cell vectors:
Nd (0.2500, 0.1001, 0.2002)
Nd (0.7500, 0.8999, 0.7998)
Sn (0.2500, 0.7498, 0.4995)
Sn (0.7500, 0.2502, 0.5005)
Sb (0.2500, 0.4312, 0.8624)
Sb (0.7500, 0.5688, 0.1376)

Properties
The symmetry is Cmcm, No. 63.


b.
This record from the Alexandria database describes NdSnSb after structural relaxation. The functional is GGA-PBE.

Cell: 3.6910 5.2466 5.2466 Å, 120.00 90.00 90.00°
Sites, in units of the cell vectors:
Sb (0.8286, 0.6667, 0.3333)
Nd (0.3336, 0.3333, 0.6667)
Sn (0.8378, 0.0000, 0.0000)

Properties
The symmetry is P3m1, No. 156.


Top of the stability list: a, leading by 0.286 eV/atom.